TaCoRu2, relaxed, DFT GGA-PBEsol; uncorrected energy = -41.42 eV/cell; Fermi-level density of states = 1.07 states/eV per atom; energy of formation from the pure elements = -197.7 meV/atom
1.0
3.775 0.000 0.000
0.000 3.775 0.000
0.000 0.000 3.762
Ta Co Ru
1 1 2
Cartesian
0.000 0.000 0.000 Ta
1.887 1.887 0.000 Co
0.000 1.887 1.881 Ru
1.887 0.000 1.881 Ru